1.
The following is a SCAN calculation of a crystal of KIn2Rh relaxed with PBEsol, from Alexandria via LeMat-Bulk.

Lattice parameters (Å, degrees): 3.1965 3.1965 8.8855 90.00 90.00 90.00
Atoms (fractional coordinates):
1 In 0.0000 0.0000 0.6852
2 In 0.0000 0.0000 0.3148
3 Rh 0.5000 0.5000 0.5000
4 K 0.5000 0.5000 0.0000

Computed properties:
Size of the total moment = 0.00 μB/cell
Calculated volume = 90.8 Å³ per cell
Energy relative to the elements = -0.20 eV/atom

2.
The following is a SCAN calculation of a crystal of AlIOF2 relaxed with PBEsol, from Alexandria via LeMat-Bulk.

Lattice parameters (Å, degrees): 4.0282 4.8465 4.8465 90.00 90.00 90.00
Atoms (fractional coordinates):
1 O 0.5000 0.0000 0.0000
2 Al 0.5000 0.5000 0.5000
3 F 0.0000 0.5000 0.0000
4 F 0.0000 0.0000 0.5000
5 I 0.0000 0.0000 0.0000

Computed properties:
Size of the total moment = 0.00 μB/cell
Raw formation energy = -0.43 eV/atom
Calculated volume = 94.6 Å³ per cell

3.
The following is a SCAN calculation of a crystal of BaReSbI2 relaxed with PBEsol, from Alexandria via LeMat-Bulk.

Lattice parameters (Å, degrees): 6.4321 6.4321 6.7734 90.00 90.00 90.00
Site moments in Bohr magnetons follow the coordinates.
Atoms (fractional coordinates):
1 Sb 0.0000 0.0000 0.5000  -0.62
2 Re 0.5000 0.5000 0.5000  4.14
3 I 0.0000 0.5000 0.0000  -0.02
4 I 0.5000 0.0000 0.0000  -0.02
5 Ba 0.0000 0.0000 0.0000  -0.01

Computed properties:
Size of the total moment = 3.77 μB/cell
Raw formation energy = 1.10 eV/atom
Calculated volume = 280.2 Å³ per cell

4.
The following is a SCAN calculation of a crystal of CsAg5Se3 relaxed with PBEsol, from Alexandria via LeMat-Bulk.

Lattice parameters (Å, degrees): 4.3209 13.8736 13.8736 90.00 90.00 90.00
Atoms (fractional coordinates):
1 Ag 0.0000 0.8930 0.5153
2 Ag 0.5000 0.1747 0.1747
3 Ag 0.5000 0.9847 0.3930
4 Ag 0.0000 0.9223 0.7177
5 Ag 0.0000 0.6747 0.3253
6 Ag 0.5000 0.2177 0.5777
7 Ag 0.0000 0.1070 0.4847
8 Ag 0.5000 0.3930 0.9847
9 Ag 0.5000 0.5777 0.2177
10 Ag 0.0000 0.7177 0.9223
11 Ag 0.5000 0.4223 0.7823
12 Ag 0.0000 0.0777 0.2823
13 Ag 0.0000 0.5153 0.8930
14 Ag 0.5000 0.6070 0.0153
15 Ag 0.0000 0.2823 0.0777
16 Ag 0.5000 0.8253 0.8253
17 Ag 0.0000 0.3253 0.6747
18 Ag 0.5000 0.0153 0.6070
19 Ag 0.0000 0.4847 0.1070
20 Ag 0.5000 0.7823 0.4223
21 Cs 0.0000 0.6145 0.6145
22 Cs 0.5000 0.8855 0.1145
23 Cs 0.0000 0.3855 0.3855
24 Cs 0.5000 0.1145 0.8855
25 Se 0.0000 0.3266 0.8810
26 Se 0.5000 0.6190 0.8266
27 Se 0.0000 0.0968 0.0968
28 Se 0.0000 0.9032 0.9032
29 Se 0.5000 0.1734 0.3810
30 Se 0.5000 0.5968 0.4032
31 Se 0.0000 0.6734 0.1190
32 Se 0.5000 0.8266 0.6190
33 Se 0.5000 0.4032 0.5968
34 Se 0.5000 0.3810 0.1734
35 Se 0.0000 0.1190 0.6734
36 Se 0.0000 0.8810 0.3266

Computed properties:
Size of the total moment = 0.00 μB/cell
Raw formation energy = -0.38 eV/atom
Calculated volume = 831.7 Å³ per cell

- Which of these has the lowest calculated volume?
  KIn2Rh